# 1
# KCdInHg

A relaxed structure of KCdInHg (PBE-GGA, the Alexandria database).

abc: 7.744 7.744 7.744
angles: 90.00 90.00 90.00
Space group F-43m (No. 216)
Symmetry-distinct sites (fractional):
K 0.000 0.000 0.000 [4 per cell]
Cd 0.250 0.250 0.250 [4 per cell]
In 0.000 0.000 0.500 [4 per cell]
Hg 0.250 0.250 0.750 [4 per cell]

- Formation enthalpy at 0 K: -0.0805 eV per atom
- Electronic total energy: -1.344 eV/atom
- Theoretical density: 6.68 g/cm³

---

# 2
# KCdIn4Hg2

A relaxed structure of KCdIn4Hg2 (PBE-GGA, the Alexandria database).

abc: 5.004 5.004 9.544
angles: 90.00 90.00 90.00
Space group P4/mmm (No. 123)
Symmetry-distinct sites (fractional):
K 0.000 0.000 0.000 [1 per cell]
Cd 0.000 0.000 0.500 [1 per cell]
In 0.000 0.500 0.325 [4 per cell]
Hg 0.500 0.500 0.150 [2 per cell]

- Formation enthalpy at 0 K: -0.0852 eV per atom
- Electronic total energy: -1.781 eV/atom
- Theoretical density: 7.03 g/cm³

---

# 3
# K2Cd3In4Hg

A relaxed structure of K2Cd3In4Hg (PBE-GGA, the Alexandria database).

abc: 4.869 4.869 12.744
angles: 90.00 90.00 90.00
Space group P-4m2 (No. 115)
Symmetry-distinct sites (fractional):
K 0.000 0.500 0.246 [2 per cell]
Cd 0.000 0.000 0.000 [1 per cell]
Cd 0.000 0.500 0.640 [2 per cell]
In 0.000 0.000 0.500 [1 per cell]
In 0.000 0.500 0.867 [2 per cell]
In 0.500 0.500 0.500 [1 per cell]
Hg 0.500 0.500 0.000 [1 per cell]

- Formation enthalpy at 0 K: -0.0964 eV per atom
- Electronic total energy: -1.716 eV/atom
- Theoretical density: 5.91 g/cm³

---

# 4
# K4CdIn3Hg12

A relaxed structure of K4CdIn3Hg12 (PBE-GGA, the Alexandria database).

abc: 11.406 11.406 11.406
angles: 90.00 90.00 90.00
Space group Im-3m (No. 229)
Symmetry-distinct sites (fractional):
K 0.250 0.250 0.250 [8 per cell]
Cd 0.000 0.000 0.000 [2 per cell]
In 0.000 0.000 0.500 [6 per cell]
Hg 0.000 0.000 0.248 [12 per cell]
Hg 0.000 0.250 0.500 [12 per cell]

- Formation enthalpy at 0 K: -0.0733 eV per atom
- Electronic total energy: -0.930 eV/atom
- Theoretical density: 6.76 g/cm³

---

# 5
# KCdIn2Hg5

A relaxed structure of KCdIn2Hg5 (PBE-GGA, the Alexandria database).

abc: 5.747 5.747 11.524
angles: 90.00 90.00 90.00
Space group P4/mmm (No. 123)
Symmetry-distinct sites (fractional):
K 0.000 0.000 0.000 [1 per cell]
Cd 0.500 0.500 0.500 [1 per cell]
In 0.500 0.500 0.251 [2 per cell]
Hg 0.000 0.500 0.241 [4 per cell]
Hg 0.500 0.500 0.000 [1 per cell]

- Formation enthalpy at 0 K: 0.0531 eV per atom
- Electronic total energy: -0.947 eV/atom
- Theoretical density: 6.04 g/cm³

---

# 6
# KCdInHg2

A relaxed structure of KCdInHg2 (PBE-GGA, the Alexandria database).

abc: 5.701 5.701 5.687
angles: 90.00 90.00 90.00
Space group P4/mmm (No. 123)
Symmetry-distinct sites (fractional):
K 0.000 0.000 0.000 [1 per cell]
Cd 0.500 0.500 0.000 [1 per cell]
In 0.500 0.500 0.500 [1 per cell]
Hg 0.000 0.500 0.500 [2 per cell]

- Formation enthalpy at 0 K: -0.0190 eV per atom
- Polymorph energy (0 for the lowest one): 130 meV/atom
- Electronic total energy: -1.090 eV/atom
- Theoretical density: 6.00 g/cm³

---

# 7
# KCdInHg2

A relaxed structure of KCdInHg2 (PBE-GGA, the Alexandria database).

abc: 4.885 4.885 12.804
angles: 90.00 90.00 90.00
Space group I-4m2 (No. 119)
Symmetry-distinct sites (fractional):
K 0.000 0.000 0.000 [2 per cell]
Cd 0.000 0.500 0.750 [2 per cell]
In 0.000 0.500 0.250 [2 per cell]
Hg 0.000 0.000 0.386 [4 per cell]

- Formation enthalpy at 0 K: -0.1491 eV per atom
- Polymorph energy (0 for the lowest one): 0 meV/atom
- Electronic total energy: -1.220 eV/atom
- Theoretical density: 7.26 g/cm³

---

# 8
# K2Cd3InHg12

A relaxed structure of K2Cd3InHg12 (PBE-GGA, the Alexandria database).

abc: 6.9770 6.9770 38.6258
angles: 90.00 90.00 120.00
Space group R-3m (No. 166, hexagonal axes)
Symmetry-distinct sites (fractional):
K 0.0000 0.0000 0.1391 [6 per cell]
Cd 0.0000 0.5000 0.0000 [9 per cell]
In 0.0000 0.0000 0.5000 [3 per cell]
Hg 0.0173 0.5087 0.8895 [18 per cell]
Hg 0.0411 0.5206 0.6140 [18 per cell]

- Formation enthalpy at 0 K: -0.0664 eV per atom
- Electronic total energy: -0.694 eV/atom
- Theoretical density: 8.99 g/cm³

---

theoretical density of number 1 (KCdInHg)? 6.68 g/cm³

---

Copy entry 7 word for word.
# KCdInHg2

A relaxed structure of KCdInHg2 (PBE-GGA, the Alexandria database).

abc: 4.885 4.885 12.804
angles: 90.00 90.00 90.00
Space group I-4m2 (No. 119)
Symmetry-distinct sites (fractional):
K 0.000 0.000 0.000 [2 per cell]
Cd 0.000 0.500 0.750 [2 per cell]
In 0.000 0.500 0.250 [2 per cell]
Hg 0.000 0.000 0.386 [4 per cell]

- Formation enthalpy at 0 K: -0.1491 eV per atom
- Polymorph energy (0 for the lowest one): 0 meV/atom
- Electronic total energy: -1.220 eV/atom
- Theoretical density: 7.26 g/cm³

---

What did the sixth record say?
# KCdInHg2

A relaxed structure of KCdInHg2 (PBE-GGA, the Alexandria database).

abc: 5.701 5.701 5.687
angles: 90.00 90.00 90.00
Space group P4/mmm (No. 123)
Symmetry-distinct sites (fractional):
K 0.000 0.000 0.000 [1 per cell]
Cd 0.500 0.500 0.000 [1 per cell]
In 0.500 0.500 0.500 [1 per cell]
Hg 0.000 0.500 0.500 [2 per cell]

- Formation enthalpy at 0 K: -0.0190 eV per atom
- Polymorph energy (0 for the lowest one): 130 meV/atom
- Electronic total energy: -1.090 eV/atom
- Theoretical density: 6.00 g/cm³

---

theoretical density of number 1 (KCdInHg)? 6.68 g/cm³